# 1
{"formula": "PrGdI", "functional": "PBE-GGA", "state": "optimized geometry", "cell": [[3.928, 0.000, 0.000], [-1.964, 3.402, 0.000], [0.000, 0.000, 7.773]], "species": ["Pr", "Gd", "I"], "frac_coords": [[0.000, 0.000, 0.000], [0.333, 0.667, 0.646], [0.667, 0.333, 0.331]], "e_above_lowest_polymorph_ev_per_atom": 0.0000, "rho_g_cm3": 6.796, "dos_at_fermi_per_ev_atom": 1.32, "space_group": "P3m1"}



# 2
{"formula": "LaGa2SnH", "functional": "PBE-GGA", "state": "optimized geometry", "cell": [[4.696, 0.000, 0.000], [0.000, 4.696, 0.000], [0.000, 0.000, 4.525]], "species": ["La", "Ga", "Ga", "Sn", "H"], "frac_coords": [[0.000, 0.000, 0.000], [0.000, 0.500, 0.500], [0.500, 0.000, 0.500], [0.500, 0.500, 0.000], [0.000, 0.000, 0.500]], "e_tot_ev_per_atom": -3.994, "rho_g_cm3": 6.625, "dos_at_fermi_per_ev_atom": 0.81, "space_group": "P4/mmm"}



# 3
{"formula": "LaZr2W", "functional": "PBE-GGA", "state": "optimized geometry", "cell": [[0.000, 3.566, 3.566], [3.566, 0.000, 3.566], [3.566, 3.566, 0.000]], "species": ["La", "Zr", "Zr", "W"], "frac_coords": [[0.000, 0.000, 0.000], [0.250, 0.250, 0.250], [0.500, 0.500, 0.500], [0.750, 0.750, 0.750]], "e_above_lowest_polymorph_ev_per_atom": 0.3015, "rho_g_cm3": 9.253, "dos_at_fermi_per_ev_atom": 1.68, "space_group": "F-43m", "e_form_ev_per_atom": 0.48}



# 4
{"formula": "Li2AcNpO6", "functional": "PBE-GGA", "state": "optimized geometry", "cell": [[2.707, 1.563, 5.695], [-2.707, 1.563, 5.695], [0.000, -3.126, 5.695]], "species": ["Li", "Li", "Ac", "Np", "O", "O", "O", "O", "O", "O"], "frac_coords": [[0.195, 0.195, 0.195], [0.805, 0.805, 0.805], [0.000, 0.000, 0.000], [0.500, 0.500, 0.500], [0.127, 0.747, 0.427], [0.253, 0.573, 0.873], [0.427, 0.127, 0.747], [0.573, 0.873, 0.253], [0.747, 0.427, 0.127], [0.873, 0.253, 0.573]], "e_tot_ev_per_atom": -7.757, "rho_g_cm3": 6.592, "space_group": "R-3"}



# 5
{"formula": "TiTe2CI", "functional": "PBE-GGA", "state": "optimized geometry", "cell": [[5.310, 0.000, 0.000], [0.000, 5.310, 0.000], [0.000, 0.000, 5.514]], "species": ["Ti", "Te", "Te", "C", "I"], "frac_coords": [[0.000, 0.000, 0.000], [0.000, 0.500, 0.000], [0.500, 0.000, 0.000], [0.500, 0.500, 0.500], [0.000, 0.000, 0.500]], "e_above_lowest_polymorph_ev_per_atom": 0.1710, "rho_g_cm3": 4.720, "dos_at_fermi_per_ev_atom": 1.20, "space_group": "P4/mmm"}



# 6
{"formula": "CsNaCo3", "functional": "PBE-GGA", "state": "optimized geometry", "cell": [[4.823, 0.000, 0.000], [0.000, 4.823, 0.000], [0.000, 0.000, 4.823]], "species": ["Cs", "Na", "Co", "Co", "Co"], "frac_coords": [[0.000, 0.000, 0.000], [0.500, 0.500, 0.500], [0.000, 0.500, 0.500], [0.500, 0.000, 0.500], [0.500, 0.500, 0.000]], "e_above_lowest_polymorph_ev_per_atom": 0.0000, "rho_g_cm3": 4.925, "dos_at_fermi_per_ev_atom": 2.66, "space_group": "Pm-3m", "e_form_ev_per_atom": 1.99}



# 7
{"formula": "Sr2LiBi4Rh3", "functional": "PBE-GGA", "state": "optimized geometry", "cell": [[4.785, 0.000, 0.000], [0.000, 4.785, 0.000], [0.000, 0.000, 11.011]], "species": ["Sr", "Sr", "Li", "Bi", "Bi", "Bi", "Bi", "Rh", "Rh", "Rh"], "frac_coords": [[0.000, 0.500, 0.244], [0.500, 0.000, 0.756], [0.500, 0.500, 0.000], [0.000, 0.000, 0.500], [0.000, 0.500, 0.871], [0.500, 0.000, 0.129], [0.500, 0.500, 0.500], [0.000, 0.000, 0.000], [0.000, 0.500, 0.626], [0.500, 0.000, 0.374]], "rho_g_cm3": 8.739, "dos_at_fermi_per_ev_atom": 0.83, "space_group": "P-4m2", "e_form_ev_per_atom": -0.46}



# 8
{"formula": "ZrPO2F", "functional": "PBE-GGA", "state": "optimized geometry", "cell": [[4.187, 0.000, 0.000], [0.000, 4.187, 0.000], [0.000, 0.000, 4.224]], "species": ["Zr", "P", "O", "O", "F"], "frac_coords": [[0.000, 0.000, 0.000], [0.500, 0.500, 0.500], [0.000, 0.500, 0.000], [0.500, 0.000, 0.000], [0.000, 0.000, 0.500]], "e_tot_ev_per_atom": -6.782, "rho_g_cm3": 3.883, "dos_at_fermi_per_ev_atom": 0.44, "space_group": "P4/mmm"}



# 9
{"formula": "NdScHg4", "functional": "PBE-GGA", "state": "optimized geometry", "cell": [[4.552, 0.000, 0.000], [0.000, 4.577, 0.000], [0.000, 0.000, 8.149]], "species": ["Nd", "Sc", "Hg", "Hg", "Hg", "Hg"], "frac_coords": [[0.000, 0.000, 0.000], [0.500, 0.500, 0.500], [0.000, 0.500, 0.275], [0.000, 0.500, 0.725], [0.500, 0.000, 0.276], [0.500, 0.000, 0.724]], "e_above_lowest_polymorph_ev_per_atom": 0.1514, "rho_g_cm3": 9.697, "dos_at_fermi_per_ev_atom": 0.70, "space_group": "Pmmm", "e_form_ev_per_atom": -0.14}



# 10
{"formula": "MnTlInGe2", "functional": "PBE-GGA", "state": "optimized geometry", "cell": [[4.647, 0.000, 0.000], [0.000, 4.647, 0.000], [0.000, 0.000, 5.185]], "species": ["Mn", "Tl", "In", "Ge", "Ge"], "frac_coords": [[0.000, 0.000, 0.000], [0.500, 0.500, 0.500], [0.000, 0.000, 0.500], [0.000, 0.500, 0.000], [0.500, 0.000, 0.000]], "rho_g_cm3": 7.703, "dos_at_fermi_per_ev_atom": 0.57, "space_group": "P4/mmm", "e_form_ev_per_atom": 0.15}



# 11
{"formula": "Sr6Si2Sn", "functional": "PBE-GGA", "state": "optimized geometry", "cell": [[-5.246, 5.364, 5.732], [5.246, -5.364, 5.732], [5.246, 5.364, -5.732]], "species": ["Sr", "Sr", "Sr", "Sr", "Sr", "Sr", "Sr", "Sr", "Sr", "Sr", "Sr", "Sr", "Si", "Si", "Si", "Si", "Sn", "Sn"], "frac_coords": [[0.047, 0.244, 0.803], [0.181, 0.280, 0.460], [0.181, 0.720, 0.901], [0.331, 0.015, 0.684], [0.331, 0.646, 0.316], [0.441, 0.244, 0.197], [0.559, 0.756, 0.803], [0.669, 0.354, 0.684], [0.669, 0.985, 0.316], [0.819, 0.280, 0.099], [0.819, 0.720, 0.540], [0.953, 0.756, 0.197], [0.108, 0.608, 0.500], [0.338, 0.000, 0.338], [0.662, 0.000, 0.662], [0.892, 0.392, 0.500], [0.000, 0.000, 0.000], [0.500, 0.500, 0.000]], "e_tot_ev_per_atom": -3.171, "rho_g_cm3": 3.606, "dos_at_fermi_per_ev_atom": 0.28, "space_group": "Immm"}



# 12
{"formula": "Ta2BeP", "functional": "PBE-GGA", "state": "optimized geometry", "cell": [[4.251, -1.767, 0.000], [4.251, 1.767, 0.000], [-2.444, 0.000, 3.873]], "species": ["Ta", "Ta", "Be", "P"], "frac_coords": [[0.244, 0.244, 0.245], [0.756, 0.756, 0.755], [0.000, 0.000, 0.500], [0.500, 0.500, 0.000]], "e_above_lowest_polymorph_ev_per_atom": 0.4742, "rho_g_cm3": 11.470, "dos_at_fermi_per_ev_atom": 0.53, "space_group": "C2/m", "e_form_ev_per_atom": -0.17}



# 13
{"formula": "CuPtS4", "functional": "PBE-GGA", "state": "optimized geometry", "cell": [[5.969, -5.013, 0.000], [5.969, 5.013, 0.000], [-2.335, 0.000, 4.959]], "species": ["Cu", "Cu", "Pt", "Pt", "S", "S", "S", "S", "S", "S", "S", "S"], "frac_coords": [[0.200, 0.800, 0.750], [0.800, 0.200, 0.250], [0.000, 0.500, 0.000], [0.500, 0.000, 0.500], [0.062, 0.794, 0.055], [0.111, 0.526, 0.454], [0.206, 0.938, 0.445], [0.474, 0.889, 0.046], [0.526, 0.111, 0.954], [0.794, 0.062, 0.555], [0.889, 0.474, 0.546], [0.938, 0.206, 0.945]], "e_tot_ev_per_atom": -4.609, "rho_g_cm3": 4.329, "dos_at_fermi_per_ev_atom": 0.56, "space_group": "C2/c"}



# 14
{"formula": "Na3CoBi", "functional": "PBE-GGA", "state": "optimized geometry", "cell": [[5.379, 0.000, 0.000], [0.000, 5.379, 0.000], [0.000, 0.000, 5.379]], "species": ["Na", "Na", "Na", "Co", "Bi"], "frac_coords": [[0.000, 0.000, 0.500], [0.000, 0.500, 0.000], [0.500, 0.000, 0.000], [0.000, 0.000, 0.000], [0.500, 0.500, 0.500]], "e_above_lowest_polymorph_ev_per_atom": 0.0000, "rho_g_cm3": 3.594, "dos_at_fermi_per_ev_atom": 1.27, "space_group": "Pm-3m", "e_form_ev_per_atom": 0.65}



# 15
{"formula": "GdScHgPt", "functional": "PBE-GGA", "state": "optimized geometry", "cell": [[0.000, 3.530, 3.530], [3.530, 0.000, 3.530], [3.530, 3.530, 0.000]], "species": ["Gd", "Sc", "Hg", "Pt"], "frac_coords": [[0.000, 0.000, 0.000], [0.500, 0.500, 0.500], [0.750, 0.750, 0.750], [0.250, 0.250, 0.250]], "rho_g_cm3": 11.285, "dos_at_fermi_per_ev_atom": 0.76, "space_group": "F-43m", "e_form_ev_per_atom": -0.75}



# 16
{"formula": "CaPaTl2", "functional": "PBE-GGA", "state": "optimized geometry", "cell": [[5.762, 0.000, 0.000], [0.000, 5.762, 0.000], [0.000, 0.000, 3.315]], "species": ["Ca", "Pa", "Tl", "Tl"], "frac_coords": [[0.000, 0.000, 0.000], [0.500, 0.500, 0.000], [0.000, 0.500, 0.500], [0.500, 0.000, 0.500]], "e_above_lowest_polymorph_ev_per_atom": 0.0422, "rho_g_cm3": 10.258, "dos_at_fermi_per_ev_atom": 1.43, "space_group": "P4/mmm", "e_form_ev_per_atom": -0.02}



# 17
{"formula": "ScTi3N", "functional": "PBE-GGA", "state": "optimized geometry", "cell": [[4.588, 0.000, 0.000], [0.000, 4.588, 0.000], [0.000, 0.000, 4.588]], "species": ["Sc", "Ti", "Ti", "Ti", "N"], "frac_coords": [[0.000, 0.000, 0.000], [0.000, 0.000, 0.500], [0.000, 0.500, 0.000], [0.500, 0.000, 0.000], [0.500, 0.500, 0.500]], "e_above_lowest_polymorph_ev_per_atom": 2.8497, "rho_g_cm3": 3.483, "dos_at_fermi_per_ev_atom": 1.66, "space_group": "Pm-3m"}



# 18
{"formula": "Nb2FeGe", "functional": "PBE-GGA", "state": "optimized geometry", "cell": [[1.800, 1.039, 6.089], [-1.800, 1.039, 6.089], [0.000, -2.078, 6.089]], "species": ["Nb", "Nb", "Fe", "Ge"], "frac_coords": [[0.239, 0.239, 0.239], [0.761, 0.761, 0.761], [0.500, 0.500, 0.500], [0.000, 0.000, 0.000]], "rho_g_cm3": 7.640, "dos_at_fermi_per_ev_atom": 0.71, "space_group": "R-3m", "e_form_ev_per_atom": 0.19}



# 19
{"formula": "ReSiGe", "functional": "PBE-GGA", "state": "optimized geometry", "cell": [[-1.320, 2.299, 7.848], [1.320, -2.299, 7.848], [1.320, 2.299, -7.848]], "species": ["Re", "Re", "Si", "Si", "Ge", "Ge"], "frac_coords": [[0.189, 0.189, 0.000], [0.811, 0.811, 0.000], [0.344, 0.344, 0.000], [0.656, 0.656, 0.000], [0.247, 0.000, 0.247], [0.753, 0.000, 0.753]], "e_above_lowest_polymorph_ev_per_atom": 0.1754, "rho_g_cm3": 10.009, "dos_at_fermi_per_ev_atom": 0.71, "space_group": "Immm"}



# 20
{"formula": "Cr3GaAu", "functional": "PBE-GGA", "state": "optimized geometry", "cell": [[4.720, 0.000, 0.000], [0.000, 4.720, 0.000], [0.000, 0.000, 4.720]], "species": ["Cr", "Cr", "Cr", "Ga", "Au"], "frac_coords": [[0.000, 0.000, 0.500], [0.000, 0.500, 0.000], [0.500, 0.000, 0.000], [0.000, 0.000, 0.000], [0.500, 0.500, 0.500]], "e_above_lowest_polymorph_ev_per_atom": 0.0000, "rho_g_cm3": 6.673, "dos_at_fermi_per_ev_atom": 0.06, "space_group": "Pm-3m", "e_form_ev_per_atom": 1.08}